[1]
A relaxed structure of ZrCuSiAg. Source: OQMD via LeMat-Bulk, functional PBE.

Cell: 4.539 4.539 4.539 Å, 60.00 60.00 60.00°
Fractional coordinates of all 4 atoms:
1 Zr 0.000 0.000 0.000
2 Cu 0.500 0.500 0.500
3 Si 0.250 0.250 0.250
4 Ag 0.750 0.750 0.750

Computed properties:
**Final energy**: -5.21 eV/atom
**Space-group type**: No. 216
**Volume**: 16.5 Å³ per atom
**Energy above the most stable polymorph in this dataset**: 0.0000 eV/atom

---

[2]
A relaxed structure of Rb2NiSe3. Source: OQMD via LeMat-Bulk, functional PBE.

Cell: 6.878 7.101 9.540 Å, 68.21 69.19 65.27°
Fractional coordinates of all 12 atoms:
1 Rb 0.095 0.190 0.130
2 Rb 0.334 0.544 0.325
3 Rb 0.666 0.456 0.675
4 Rb 0.905 0.810 0.870
5 Ni 0.403 0.036 0.645
6 Ni 0.597 0.964 0.355
7 Se 0.193 0.335 0.732
8 Se 0.250 0.970 0.499
9 Se 0.378 0.836 0.896
10 Se 0.622 0.164 0.104
11 Se 0.750 0.030 0.501
12 Se 0.807 0.665 0.268

Computed properties:
**Final energy**: -3.60 eV/atom
**Space-group type**: No. 2
**Volume**: 31.8 Å³ per atom

---

[3]
A relaxed structure of NpAlAs. Source: OQMD via LeMat-Bulk, functional PBE.

Cell: 4.507 4.507 4.507 Å, 60.00 60.00 60.00°
Fractional coordinates of all 3 atoms:
1 Np 0.000 0.000 0.000
2 Al 0.500 0.500 0.500
3 As 0.750 0.750 0.750

Computed properties:
**Final energy**: -7.00 eV/atom
**Space-group type**: No. 216
**Volume**: 21.6 Å³ per atom

---

[4]
A relaxed structure of NdSbO4. Source: OQMD via LeMat-Bulk, functional PBE.

Cell: 7.645 5.514 7.663 Å, 90.00 100.17 90.00°
Fractional coordinates of all 24 atoms:
1 Nd 0.149 0.227 0.400
2 Nd 0.149 0.273 0.900
3 Nd 0.851 0.727 0.100
4 Nd 0.851 0.773 0.600
5 Sb 0.337 0.730 0.198
6 Sb 0.337 0.770 0.698
7 Sb 0.663 0.230 0.302
8 Sb 0.663 0.270 0.802
9 O 0.118 0.520 0.173
10 O 0.118 0.980 0.673
11 O 0.169 0.505 0.628
12 O 0.169 0.995 0.128
13 O 0.334 0.635 0.944
14 O 0.334 0.865 0.444
15 O 0.437 0.092 0.801
16 O 0.437 0.408 0.301
17 O 0.563 0.592 0.699
18 O 0.563 0.908 0.199
19 O 0.666 0.135 0.556
20 O 0.666 0.365 0.056
21 O 0.831 0.005 0.872
22 O 0.831 0.495 0.372
23 O 0.882 0.020 0.327
24 O 0.882 0.480 0.827

Computed properties:
**Final energy**: -7.11 eV/atom
**Space-group type**: No. 14
**Volume**: 13.2 Å³ per atom

---

- Look up the volume of the first one.
  16.5 Å³ per atom